# MgCo2Rh | the Alexandria database | PBE-GGA | relaxed
# **Calculated volume**: 53 Å³ per cell
# **Uncorrected energy**: -5.75 eV per atom
data_MgCo2Rh
_cell_length_a 4.0251
_cell_length_b 3.6394
_cell_length_c 3.6394
_cell_angle_alpha 90.00
_cell_angle_beta 90.00
_cell_angle_gamma 90.00
_space_group_name_H-M_alt 'P 1'
_space_group_IT_number 1
_space_group_name_Hall 'P 1'
loop_
_atom_site_label
_atom_site_type_symbol
_atom_site_fract_x
_atom_site_fract_y
_atom_site_fract_z
_atom_site_occupancy
Co1 Co 0.0000 0.0000 0.0000 1
Co2 Co 0.0000 0.5000 0.5000 1
Mg1 Mg 0.5000 0.5000 0.0000 1
Rh1 Rh 0.5000 0.0000 0.5000 1



# PaFe6B3 | the Alexandria database | PBE-GGA | relaxed
# **Calculated volume**: 108 Å³ per cell
# **Uncorrected energy**: -8.27 eV per atom
data_PaFe6B3
_cell_length_a 4.9954
_cell_length_b 5.0375
_cell_length_c 5.9725
_cell_angle_alpha 91.29
_cell_angle_beta 118.80
_cell_angle_gamma 119.59
_space_group_name_H-M_alt 'P 1'
_space_group_IT_number 1
_space_group_name_Hall 'P 1'
loop_
_atom_site_label
_atom_site_type_symbol
_atom_site_fract_x
_atom_site_fract_y
_atom_site_fract_z
_atom_site_occupancy
Pa1 Pa 0.9556 0.9797 0.8935 1
Fe1 Fe 0.2964 0.4069 0.7016 1
Fe2 Fe 0.2603 0.6565 0.3248 1
Fe3 Fe 0.7098 0.1027 0.2351 1
Fe4 Fe 0.3024 0.8916 0.7166 1
Fe5 Fe 0.6903 0.3419 0.5760 1
Fe6 Fe 0.6806 0.5904 0.2311 1
B1 B 0.7423 0.3745 0.9607 1
B2 B 0.2259 0.6134 0.9614 1
B3 B 0.1364 0.0425 0.3991 1



# Ca2ZnHg4 | the Alexandria database | PBE-GGA | relaxed
# **Calculated volume**: 177 Å³ per cell
# **Uncorrected energy**: -1.24 eV per atom
data_Ca2ZnHg4
_cell_length_a 5.3254
_cell_length_b 5.3254
_cell_length_c 7.8248
_cell_angle_alpha 70.11
_cell_angle_beta 70.11
_cell_angle_gamma 60.00
_space_group_name_H-M_alt 'P 1'
_space_group_IT_number 1
_space_group_name_Hall 'P 1'
loop_
_atom_site_label
_atom_site_type_symbol
_atom_site_fract_x
_atom_site_fract_y
_atom_site_fract_z
_atom_site_occupancy
Ca1 Ca 0.7254 0.7254 0.8237 1
Ca2 Ca 0.2746 0.2746 0.1763 1
Zn1 Zn 0.0000 0.0000 0.0000 1
Hg1 Hg 0.8722 0.8722 0.3834 1
Hg2 Hg 0.1278 0.1278 0.6166 1
Hg3 Hg 0.5753 0.5753 0.2742 1
Hg4 Hg 0.4247 0.4247 0.7258 1



# Ba2HgPd | the Alexandria database | PBE-GGA | relaxed
# **Calculated volume**: 285 Å³ per cell
# **Uncorrected energy**: -2.84 eV per atom
data_Ba2HgPd
_cell_length_a 4.8251
_cell_length_b 6.7115
_cell_length_c 9.4213
_cell_angle_alpha 110.93
_cell_angle_beta 90.00
_cell_angle_gamma 90.00
_space_group_name_H-M_alt 'P 1'
_space_group_IT_number 1
_space_group_name_Hall 'P 1'
loop_
_atom_site_label
_atom_site_type_symbol
_atom_site_fract_x
_atom_site_fract_y
_atom_site_fract_z
_atom_site_occupancy
Ba1 Ba 0.7500 0.2294 0.4235 1
Ba2 Ba 0.2500 0.7706 0.5765 1
Ba3 Ba 0.2500 0.7824 0.0618 1
Ba4 Ba 0.7500 0.2176 0.9382 1
Hg1 Hg 0.7500 0.6449 0.2839 1
Hg2 Hg 0.2500 0.3551 0.7161 1
Pd1 Pd 0.2500 0.3706 0.2160 1
Pd2 Pd 0.7500 0.6294 0.7840 1



# Re3Te | the Alexandria database | PBE-GGA | relaxed
# **Calculated volume**: 65 Å³ per cell
# **Uncorrected energy**: -9.39 eV per atom
# **E_form (uncorrected)**: 0.735 eV per atom
# **Distance to the lowest polymorph of the same formula**: 200 meV/atom
data_Re3Te
_cell_length_a 5.3806
_cell_length_b 5.3806
_cell_length_c 5.3806
_cell_angle_alpha 146.61
_cell_angle_beta 129.86
_cell_angle_gamma 61.59
_space_group_name_H-M_alt 'P 1'
_space_group_IT_number 1
_space_group_name_Hall 'P 1'
loop_
_atom_site_label
_atom_site_type_symbol
_atom_site_fract_x
_atom_site_fract_y
_atom_site_fract_z
_atom_site_occupancy
Re1 Re 0.0165 0.0165 0.0000 1
Re2 Re 0.7500 0.2500 0.5000 1
Re3 Re 0.4835 0.4835 0.0000 1
Te1 Te 0.2500 0.7500 0.5000 1



# Sr2CoIr | the Alexandria database | PBE-GGA | relaxed
# **Calculated volume**: 89 Å³ per cell
# **Uncorrected energy**: -4.30 eV per atom
data_Sr2CoIr
_cell_length_a 5.0077
_cell_length_b 5.0077
_cell_length_c 5.0077
_cell_angle_alpha 60.00
_cell_angle_beta 60.00
_cell_angle_gamma 60.00
_space_group_name_H-M_alt 'P 1'
_space_group_IT_number 1
_space_group_name_Hall 'P 1'
loop_
_atom_site_label
_atom_site_type_symbol
_atom_site_fract_x
_atom_site_fract_y
_atom_site_fract_z
_atom_site_occupancy
Co1 Co 0.5000 0.5000 0.5000 1
Ir1 Ir 0.7500 0.7500 0.7500 1
Sr1 Sr 0.0000 0.0000 0.0000 1
Sr2 Sr 0.2500 0.2500 0.2500 1



# LiPuCdO5 | the Alexandria database | PBE-GGA | relaxed
# **Calculated volume**: 240 Å³ per cell
# **Uncorrected energy**: -7.17 eV per atom
# **E_form (uncorrected)**: -1.924 eV per atom
data_LiPuCdO5
_cell_length_a 6.0309
_cell_length_b 6.0309
_cell_length_c 8.1074
_cell_angle_alpha 105.05
_cell_angle_beta 105.05
_cell_angle_gamma 112.83
_space_group_name_H-M_alt 'P 1'
_space_group_IT_number 1
_space_group_name_Hall 'P 1'
loop_
_atom_site_label
_atom_site_type_symbol
_atom_site_fract_x
_atom_site_fract_y
_atom_site_fract_z
_atom_site_occupancy
Li1 Li 0.7127 0.2873 0.2500 1
Li2 Li 0.2873 0.7127 0.7500 1
Pu1 Pu 0.0000 0.0000 0.5000 1
Pu2 Pu 0.0000 0.0000 0.0000 1
Cd1 Cd 0.2991 0.7009 0.2500 1
Cd2 Cd 0.7009 0.2991 0.7500 1
O1 O 0.0729 0.9271 0.2500 1
O2 O 0.9271 0.0729 0.7500 1
O3 O 0.9644 0.3231 0.1260 1
O4 O 0.0356 0.6769 0.8740 1
O5 O 0.6769 0.0356 0.3740 1
O6 O 0.3231 0.9644 0.6260 1
O7 O 0.7954 0.6410 0.4253 1
O8 O 0.2046 0.3590 0.5747 1
O9 O 0.3590 0.2046 0.0747 1
O10 O 0.6410 0.7954 0.9253 1



# Sm2DyTl | the Alexandria database | PBE-GGA | relaxed
# **Calculated volume**: 120 Å³ per cell
# **Uncorrected energy**: -4.13 eV per atom
# **Distance to the lowest polymorph of the same formula**: 163 meV/atom
data_Sm2DyTl
_cell_length_a 5.5297
_cell_length_b 5.5297
_cell_length_c 5.5296
_cell_angle_alpha 60.00
_cell_angle_beta 60.00
_cell_angle_gamma 60.00
_space_group_name_H-M_alt 'P 1'
_space_group_IT_number 1
_space_group_name_Hall 'P 1'
loop_
_atom_site_label
_atom_site_type_symbol
_atom_site_fract_x
_atom_site_fract_y
_atom_site_fract_z
_atom_site_occupancy
Sm1 Sm 0.0000 0.0000 0.0000 1
Sm2 Sm 0.2499 0.2499 0.2503 1
Dy1 Dy 0.5000 0.5000 0.4999 1
Tl1 Tl 0.7501 0.7501 0.7497 1



Number 1: DOS(E_F) 1.45 states/eV per atom. Number 2: DOS(E_F) 1.01 states/eV per atom. Number 3: DOS(E_F) 0.35 states/eV per atom. Number 4: DOS(E_F) 0.82 states/eV per atom. Number 5: DOS(E_F) 0.86 states/eV per atom. Number 6: DOS(E_F) 1.30 states/eV per atom. Number 7: DOS(E_F) 0.06 states/eV per atom. Number 8: DOS(E_F) 1.30 states/eV per atom.